1.
{"formula": "La2Zn3Ni", "functional": "PBE-GGA", "state": "relaxed", "spacegroup": "Pmm2 (25)", "e_form_ev_per_atom": -0.354, "cell": [[-0.132, 3.480, 1.492], [-4.439, -0.465, 0.690], [1.405, -2.965, 7.039]], "species": ["Zn", "Zn", "La", "La", "Ni", "Zn"], "frac_coords": [[0.500, 0.000, 0.169], [0.500, 0.000, 0.830], [0.000, 0.000, 0.484], [0.000, 0.500, 0.026], [0.500, 0.500, 0.329], [0.500, 0.500, 0.663]]}

---

2.
{"formula": "La4ZnNi", "functional": "PBE-GGA", "state": "relaxed", "spacegroup": "F-43m (216)", "e_form_ev_per_atom": 0.622, "de_polymorph_mev_per_atom": 800, "cell": [[5.284, -0.686, 3.415], [0.012, -3.760, 5.090], [3.158, -5.483, -0.124]], "species": ["La", "La", "Ni", "La", "La", "Zn"], "frac_coords": [[0.873, 0.376, 0.376], [0.376, 0.873, 0.376], [0.750, 0.750, 0.750], [0.376, 0.376, 0.376], [0.376, 0.376, 0.873], [0.000, 0.000, 0.000]]}

---

3.
{"formula": "LaZn2Ni4", "functional": "PBE-GGA", "state": "relaxed", "spacegroup": "I4/mmm (139)", "e_form_ev_per_atom": 0.185, "de_polymorph_mev_per_atom": 441, "cell": [[-2.016, -4.424, -2.847], [5.471, 0.751, 1.117], [-2.253, -0.663, 5.121]], "species": ["Zn", "Ni", "Ni", "Ni", "Ni", "Zn", "La"], "frac_coords": [[0.750, 0.250, 0.500], [0.276, 0.500, 0.776], [0.724, 0.500, 0.224], [0.500, 0.724, 0.224], [0.500, 0.276, 0.776], [0.250, 0.750, 0.500], [0.000, 0.000, 0.000]]}

---

4.
{"formula": "La2Zn4Ni", "functional": "PBE-GGA", "state": "relaxed", "spacegroup": "I4/mmm (139)", "e_form_ev_per_atom": -0.172, "cell": [[-1.122, 2.863, -3.400], [2.776, -2.287, -2.842], [-5.076, -4.397, -5.117]], "species": ["Ni", "La", "Zn", "La", "Zn", "Zn", "Zn"], "frac_coords": [[0.000, 0.000, 0.000], [0.647, 0.647, 0.706], [0.500, 0.000, 0.000], [0.353, 0.353, 0.294], [0.152, 0.152, 0.697], [0.000, 0.500, 0.000], [0.848, 0.848, 0.303]]}

---

5.
{"formula": "LaZn9Ni2", "functional": "PBE-GGA", "state": "relaxed", "spacegroup": "P6/mmm (191)", "e_form_ev_per_atom": -0.174, "de_polymorph_mev_per_atom": 116, "cell": [[3.716, 0.000, 0.000], [0.000, 7.946, 0.000], [0.000, -3.973, 6.882]], "species": ["Zn", "Zn", "Zn", "Zn", "Ni", "Zn", "Zn", "Zn", "Zn", "Ni", "Zn", "La"], "frac_coords": [[0.000, 0.500, 0.500], [0.500, 0.795, 0.205], [0.500, 0.795, 0.590], [0.500, 0.205, 0.795], [0.000, 0.333, 0.667], [0.500, 0.410, 0.205], [0.000, 0.000, 0.500], [0.500, 0.590, 0.795], [0.000, 0.500, 0.000], [0.000, 0.667, 0.333], [0.500, 0.205, 0.410], [0.000, 0.000, 0.000]]}

---

6.
{"formula": "LaZnNi2", "functional": "PBE-GGA", "state": "relaxed", "spacegroup": "Pmm2 (25)", "e_form_ev_per_atom": -0.027, "cell": [[3.414, 0.000, 0.000], [0.000, 3.805, 0.000], [0.000, 0.000, 5.444]], "species": ["Zn", "Ni", "Ni", "La"], "frac_coords": [[0.000, 0.000, 0.435], [0.500, 0.500, 0.277], [0.000, 0.000, 0.004], [0.500, 0.500, 0.784]]}

---

7.
{"formula": "LaZn2Ni3", "functional": "PBE-GGA", "state": "relaxed", "spacegroup": "P6/mmm (191)", "e_form_ev_per_atom": -0.350, "cell": [[3.899, 0.000, 0.000], [0.000, 5.286, 0.000], [0.000, -2.643, 4.578]], "species": ["Ni", "Ni", "La", "Zn", "Zn", "Ni"], "frac_coords": [[0.500, 0.000, 0.500], [0.500, 0.500, 0.000], [0.000, 0.000, 0.000], [0.000, 0.667, 0.333], [0.000, 0.333, 0.667], [0.500, 0.500, 0.500]]}

---

8.
{"formula": "LaZnNi3", "functional": "PBE-GGA", "state": "relaxed", "spacegroup": "Pm-3m (221)", "e_form_ev_per_atom": 0.114, "de_polymorph_mev_per_atom": 351, "cell": [[4.479, 0.000, 0.000], [0.000, 4.479, 0.000], [0.000, 0.000, 4.479]], "species": ["Zn", "Ni", "Ni", "La", "Ni"], "frac_coords": [[0.000, 0.000, 0.000], [0.000, 0.500, 0.000], [0.500, 0.000, 0.000], [0.500, 0.500, 0.500], [0.000, 0.000, 0.500]]}

---

9.
{"formula": "La4Zn3Ni", "functional": "PBE-GGA", "state": "relaxed", "spacegroup": "P4/mmm (123)", "e_form_ev_per_atom": -0.289, "cell": [[-2.149, 2.969, -0.603], [-2.935, -1.858, 1.315], [2.999, 4.952, 13.688]], "species": ["La", "Zn", "La", "La", "Zn", "Zn", "Ni", "La"], "frac_coords": [[0.000, 0.000, 0.112], [0.500, 0.500, 0.500], [0.000, 0.000, 0.628], [0.000, 0.000, 0.888], [0.500, 0.500, 0.246], [0.500, 0.500, 0.754], [0.500, 0.500, 0.000], [0.000, 0.000, 0.372]]}

---

10.
{"formula": "La3Zn2Ni7", "functional": "PBE-GGA", "state": "relaxed", "spacegroup": "R-3m (166)", "e_form_ev_per_atom": -0.350, "cell": [[-1.278, -4.609, 2.099], [3.387, -2.486, 3.102], [-2.453, 1.485, 8.266]], "species": ["Ni", "La", "Zn", "La", "Ni", "Zn", "La", "Ni", "Ni", "Ni", "Ni", "Ni"], "frac_coords": [[0.500, 0.500, 0.500], [0.860, 0.860, 0.420], [0.332, 0.332, 0.005], [0.140, 0.140, 0.580], [0.578, 0.578, 0.755], [0.668, 0.668, 0.995], [0.000, 0.000, 0.000], [0.578, 0.088, 0.755], [0.088, 0.578, 0.755], [0.422, 0.912, 0.245], [0.422, 0.422, 0.245], [0.912, 0.422, 0.245]]}

---

11.
{"formula": "LaZn8Ni4", "functional": "PBE-GGA", "state": "relaxed", "spacegroup": "I4/mmm (139)", "e_form_ev_per_atom": -0.267, "cell": [[5.077, 0.000, 0.000], [2.538, 6.157, 0.000], [2.538, 0.000, 6.157]], "species": ["Zn", "Zn", "Ni", "Zn", "Zn", "La", "Ni", "Zn", "Ni", "Zn", "Ni", "Zn", "Zn"], "frac_coords": [[0.500, 0.228, 0.772], [0.272, 0.228, 0.228], [0.000, 0.000, 0.500], [0.500, 0.772, 0.228], [0.346, 0.654, 0.654], [0.000, 0.000, 0.000], [0.500, 0.000, 0.500], [0.654, 0.346, 0.346], [0.500, 0.500, 0.000], [0.728, 0.772, 0.772], [0.000, 0.500, 0.000], [0.000, 0.346, 0.654], [0.000, 0.654, 0.346]]}

---

12.
{"formula": "LaZn2Ni", "functional": "PBE-GGA", "state": "relaxed", "spacegroup": "I-42d (122)", "e_form_ev_per_atom": -0.070, "cell": [[4.588, 0.000, 0.000], [0.000, 4.588, 0.000], [2.294, 2.294, 8.563]], "species": ["Ni", "La", "Zn", "Zn", "Ni", "La", "Zn", "Zn"], "frac_coords": [[0.500, 0.500, 0.000], [0.750, 0.250, 0.500], [0.375, 0.585, 0.750], [0.415, 0.125, 0.250], [0.250, 0.750, 0.500], [0.000, 0.000, 0.000], [0.335, 0.625, 0.250], [0.875, 0.665, 0.750]]}

---

13.
{"formula": "LaZnNi", "functional": "PBE-GGA", "state": "relaxed", "spacegroup": "P-1 (2)", "e_form_ev_per_atom": -0.387, "de_polymorph_mev_per_atom": 3, "cell": [[-2.739, -2.677, -1.387], [0.204, 0.067, 5.434], [-2.574, 5.804, -0.183]], "species": ["Zn", "Ni", "La", "Ni", "La", "Zn"], "frac_coords": [[0.612, 0.307, 0.417], [0.963, 0.605, 0.821], [0.759, 0.821, 0.194], [0.037, 0.395, 0.179], [0.241, 0.179, 0.806], [0.388, 0.693, 0.583]]}

---

14.
{"formula": "La2Zn5Ni4", "functional": "PBE-GGA", "state": "relaxed", "spacegroup": "C2/m (12)", "e_form_ev_per_atom": -0.287, "de_polymorph_mev_per_atom": 44, "cell": [[5.310, 0.000, 0.000], [2.655, 6.345, -0.029], [2.655, 1.585, 5.864]], "species": ["Ni", "Ni", "Zn", "La", "Zn", "Zn", "La", "Ni", "Zn", "Ni", "Zn"], "frac_coords": [[0.773, 0.554, 0.901], [0.622, 0.940, 0.816], [0.000, 0.500, 0.500], [0.270, 0.793, 0.667], [0.302, 0.742, 0.167], [0.790, 0.742, 0.167], [0.730, 0.207, 0.333], [0.378, 0.060, 0.184], [0.698, 0.258, 0.833], [0.227, 0.446, 0.099], [0.210, 0.258, 0.833]]}

---

15.
{"formula": "LaZn2Ni3", "functional": "PBE-GGA", "state": "relaxed", "spacegroup": "Cmcm (63)", "e_form_ev_per_atom": -0.296, "cell": [[5.049, 0.000, 0.000], [0.000, 6.290, 0.182], [0.000, -1.086, 6.198]], "species": ["La", "Ni", "Ni", "Zn", "Ni", "Ni", "Zn", "Zn", "Ni", "Ni", "La", "Zn"], "frac_coords": [[0.250, 0.293, 0.293], [0.750, 0.067, 0.067], [0.250, 0.545, 0.932], [0.500, 0.220, 0.780], [0.750, 0.455, 0.068], [0.750, 0.068, 0.455], [0.000, 0.780, 0.220], [0.500, 0.780, 0.220], [0.250, 0.932, 0.545], [0.250, 0.933, 0.933], [0.750, 0.707, 0.707], [0.000, 0.220, 0.780]]}

---

16.
{"formula": "LaZnNi2", "functional": "PBE-GGA", "state": "relaxed", "spacegroup": "P4/mmm (123)", "e_form_ev_per_atom": -0.048, "cell": [[4.556, 0.000, 0.000], [0.000, 4.552, 0.000], [0.000, 0.000, 3.333]], "species": ["Zn", "Ni", "La", "Ni"], "frac_coords": [[0.500, 0.000, 0.500], [0.500, 0.500, 0.000], [0.000, 0.500, 0.500], [0.000, 0.000, 0.000]]}

---

17.
{"formula": "LaZnNi", "functional": "PBE-GGA", "state": "relaxed", "spacegroup": "F-43m (216)", "e_form_ev_per_atom": -0.230, "de_polymorph_mev_per_atom": 160, "cell": [[4.586, 0.000, 0.000], [2.293, 3.972, 0.000], [2.293, 1.324, 3.745]], "species": ["La", "Zn", "Ni"], "frac_coords": [[0.500, 0.500, 0.500], [0.000, 0.000, 0.000], [0.750, 0.750, 0.750]]}

---

18.
{"formula": "La6Zn5Ni", "functional": "PBE-GGA", "state": "relaxed", "spacegroup": "Immm (71)", "e_form_ev_per_atom": -0.294, "cell": [[5.185, -0.335, 0.854], [-0.020, 6.912, 2.834], [1.209, 0.334, 9.040]], "species": ["La", "Zn", "La", "La", "Zn", "Zn", "La", "La", "Ni", "La", "Zn", "Zn"], "frac_coords": [[0.840, 0.080, 0.319], [0.319, 0.819, 0.362], [0.500, 0.235, 0.000], [0.500, 0.765, 0.000], [0.681, 0.181, 0.638], [0.000, 0.500, 0.000], [0.840, 0.601, 0.319], [0.160, 0.399, 0.681], [0.000, 0.000, 0.000], [0.160, 0.920, 0.681], [0.331, 0.331, 0.338], [0.669, 0.669, 0.662]]}

---

19.
{"formula": "LaZnNi2", "functional": "PBE-GGA", "state": "relaxed", "spacegroup": "P6_3/mmc (194)", "e_form_ev_per_atom": -0.334, "cell": [[5.294, 0.000, 0.000], [-2.647, 4.585, 0.000], [0.000, 0.000, 16.442]], "species": ["Ni", "Zn", "Zn", "Ni", "Ni", "Zn", "La", "La", "Ni", "La", "Ni", "La", "Ni", "La", "Ni", "Zn", "Ni", "Ni", "La", "Zn", "Ni", "Zn", "Ni", "Ni"], "frac_coords": [[0.333, 0.167, 0.627], [0.333, 0.667, 0.250], [0.000, 0.000, 0.750], [0.667, 0.833, 0.373], [0.833, 0.667, 0.627], [0.000, 0.000, 0.000], [0.333, 0.667, 0.953], [0.667, 0.333, 0.453], [0.167, 0.833, 0.127], [0.333, 0.667, 0.750], [0.167, 0.833, 0.373], [0.333, 0.667, 0.547], [0.833, 0.667, 0.873], [0.667, 0.333, 0.250], [0.833, 0.167, 0.873], [0.667, 0.333, 0.750], [0.667, 0.833, 0.127], [0.833, 0.167, 0.627], [0.667, 0.333, 0.047], [0.000, 0.000, 0.250], [0.333, 0.167, 0.873], [0.000, 0.000, 0.500], [0.167, 0.333, 0.127], [0.167, 0.333, 0.373]]}

---

20.
{"formula": "La2Zn2Ni", "functional": "PBE-GGA", "state": "relaxed", "spacegroup": "I4/mmm (139)", "e_form_ev_per_atom": -0.110, "de_polymorph_mev_per_atom": 225, "cell": [[3.610, 0.000, 0.000], [0.000, 3.610, 0.000], [1.805, 1.805, 9.087]], "species": ["Zn", "Ni", "La", "Zn", "La"], "frac_coords": [[0.250, 0.750, 0.500], [0.000, 0.000, 0.000], [0.408, 0.408, 0.185], [0.750, 0.250, 0.500], [0.592, 0.592, 0.815]]}

---

21.
{"formula": "LaZn11Ni", "functional": "PBE-GGA", "state": "relaxed", "spacegroup": "C2/m (12)", "e_form_ev_per_atom": -0.218, "cell": [[-4.986, -0.406, 0.252], [-1.956, -1.750, 6.349], [-2.920, 6.029, 1.713]], "species": ["Zn", "Zn", "Zn", "La", "Zn", "Ni", "Zn", "Zn", "Zn", "Zn", "Zn", "Zn", "Zn"], "frac_coords": [[0.635, 0.363, 0.346], [0.503, 0.229, 0.782], [0.000, 0.000, 0.500], [0.000, 0.000, 0.000], [0.497, 0.771, 0.218], [0.500, 0.500, 0.000], [0.981, 0.363, 0.654], [0.000, 0.500, 0.000], [0.284, 0.229, 0.218], [0.019, 0.637, 0.346], [0.365, 0.637, 0.654], [0.716, 0.771, 0.782], [0.500, 0.000, 0.500]]}

---

22.
{"formula": "La3ZnNi", "functional": "PBE-GGA", "state": "relaxed", "spacegroup": "C2/m (12)", "e_form_ev_per_atom": -0.233, "de_polymorph_mev_per_atom": 0, "cell": [[-4.494, 2.465, -3.071], [-5.224, -2.478, 1.509], [-5.405, 5.454, 5.025]], "species": ["Zn", "La", "Ni", "Ni", "La", "Zn", "La", "La", "La", "La"], "frac_coords": [[0.690, 0.310, 0.500], [0.308, 0.308, 0.898], [0.704, 0.296, 0.000], [0.296, 0.704, 0.000], [0.287, 0.287, 0.318], [0.310, 0.690, 0.500], [0.923, 0.923, 0.270], [0.713, 0.713, 0.682], [0.077, 0.077, 0.730], [0.692, 0.692, 0.102]]}

---

23.
{"formula": "LaZnNi2", "functional": "PBE-GGA", "state": "relaxed", "spacegroup": "I-4m2 (119)", "e_form_ev_per_atom": -0.057, "cell": [[5.234, 0.001, 0.000], [2.221, 4.740, 0.000], [-3.728, -2.370, 2.808]], "species": ["Zn", "Ni", "La", "Ni"], "frac_coords": [[0.500, 0.500, 0.000], [0.250, 0.750, 0.500], [0.750, 0.250, 0.500], [0.000, 0.000, 0.000]]}

---

24.
{"formula": "La2Zn6Ni3", "functional": "PBE-GGA", "state": "relaxed", "spacegroup": "P-62m (189)", "e_form_ev_per_atom": -0.287, "cell": [[-2.110, -2.854, 1.782], [2.657, -5.073, -4.979], [3.741, 1.277, 6.477]], "species": ["La", "Zn", "Zn", "Ni", "Zn", "La", "Zn", "Ni", "Zn", "Ni", "Zn"], "frac_coords": [[0.000, 0.333, 0.667], [0.500, 0.719, 0.719], [0.000, 0.196, 0.196], [0.500, 0.388, 0.388], [0.000, 0.000, 0.804], [0.000, 0.667, 0.333], [0.000, 0.804, 0.000], [0.500, 0.000, 0.612], [0.500, 0.000, 0.281], [0.500, 0.612, 0.000], [0.500, 0.281, 0.000]]}